Material: Sr2ScNbO6
Method: DFT, PBE
State: optimized geometry

a b c (Å): 5.755 5.776 9.961
angles (deg): 90.00 125.24 90.00
Fractional coordinates of all 20 atoms:
Sr  0.245  0.025  0.250
Sr  0.245  0.475  0.750
Sr  0.755  0.525  0.250
Sr  0.755  0.975  0.750
Sc  0.500  0.000  0.000
Sc  0.500  0.500  0.500
Nb  0.000  0.000  0.500
Nb  0.000  0.500  0.000
O  0.180  0.226  0.966
O  0.180  0.274  0.466
O  0.240  0.716  0.967
O  0.240  0.784  0.467
O  0.308  0.013  0.744
O  0.308  0.487  0.244
O  0.692  0.513  0.756
O  0.692  0.987  0.256
O  0.760  0.216  0.533
O  0.760  0.284  0.033
O  0.820  0.726  0.534
O  0.820  0.774  0.034

Calculated values
Formation energy from raw total energies = -297.89 kJ per mole of atoms
Calculated volume = 270.4 Å³ per cell
M_tot = 0.0 Bohr magnetons per cell

Material: KTeAu2
Method: DFT, PBE
State: optimized geometry

a b c (Å): 3.902 3.902 7.042
angles (deg): 90.00 90.00 90.00
Fractional coordinates of all 4 atoms:
K  0.000  0.000  0.000
Te  0.000  0.000  0.500
Au  0.500  0.500  0.301
Au  0.500  0.500  0.699

Calculated values
Formation energy from raw total energies = 5.15 kJ per mole of atoms
Calculated volume = 107.2 Å³ per cell
M_tot = 0.0 Bohr magnetons per cell

Material: LiCrRh3
Method: DFT, PBE
State: optimized geometry

a b c (Å): 11.007 11.007 4.569
angles (deg): 91.40 91.40 14.18
Fractional coordinates of all 10 atoms:
Li  0.249  0.249  0.258
Li  0.751  0.751  0.742
Cr  0.061  0.061  0.265
Cr  0.939  0.939  0.735
Rh  0.149  0.149  0.599
Rh  0.351  0.351  0.909
Rh  0.462  0.462  0.245
Rh  0.538  0.538  0.755
Rh  0.649  0.649  0.091
Rh  0.851  0.851  0.401

Calculated values
Calculated volume = 135.5 Å³ per cell
Relative energy among the computed polymorphs = 0 meV/atom
M_tot = 0.9 Bohr magnetons per cell
Energy relative to the elements = -89 meV/atom

Material: CsSmIn2Br6
Method: DFT, PBE
State: optimized geometry

a b c (Å): 8.295 8.304 8.707
angles (deg): 90.03 118.44 119.96
Fractional coordinates of all 10 atoms:
Cs  0.000  0.000  0.000
Sm  0.968  0.484  0.452
In  0.575  0.288  0.863
In  0.601  0.800  0.400
Br  0.083  0.436  0.194
Br  0.089  0.252  0.659
Br  0.407  0.837  0.659
Br  0.548  0.112  0.194
Br  0.758  0.646  0.193
Br  0.822  0.570  0.658

Calculated values
Formation energy from raw total energies = -133.97 kJ per mole of atoms
Calculated volume = 433.9 Å³ per cell
M_tot = 0.0 Bohr magnetons per cell

Material: NaLa3Ir
Method: DFT, PBE
State: optimized geometry

a b c (Å): 4.155 5.720 7.919
angles (deg): 90.00 90.34 90.00
Fractional coordinates of all 5 atoms:
Na  0.000  0.000  0.000
La  0.000  0.000  0.500
La  0.497  0.500  0.254
La  0.503  0.500  0.746
Ir  0.000  0.500  0.500

Calculated values
Calculated volume = 188.2 Å³ per cell
Relative energy among the computed polymorphs = 28 meV/atom
M_tot = 0.0 Bohr magnetons per cell
Energy relative to the elements = -297 meV/atom

Material: Er5Bi2CSe
Method: DFT, PBE
State: optimized geometry

a b c (Å): 4.642 4.642 10.860
angles (deg): 90.00 90.00 90.00
Fractional coordinates of all 9 atoms:
Er  0.000  0.000  0.000
Er  0.000  0.500  0.500
Er  0.500  0.000  0.500
Er  0.500  0.500  0.262
Er  0.500  0.500  0.738
Bi  0.000  0.000  0.285
Bi  0.000  0.000  0.715
C  0.500  0.500  0.500
Se  0.500  0.500  0.000

Calculated values
Formation energy from raw total energies = -73.94 kJ per mole of atoms
Calculated volume = 234.0 Å³ per cell
M_tot = 0.0 Bohr magnetons per cell

Material: MgFeRu
Method: DFT, PBE
State: optimized geometry

a b c (Å): 4.313 4.313 2.716
angles (deg): 90.00 90.00 120.00
Fractional coordinates of all 3 atoms:
Mg  0.000  0.000  0.000
Fe  0.333  0.667  0.635
Ru  0.667  0.333  0.401

Calculated values
Calculated volume = 43.8 Å³ per cell
Relative energy among the computed polymorphs = 115 meV/atom
M_tot = 3.6 Bohr magnetons per cell
Energy relative to the elements = 172 meV/atom

Material: SrZrPb2
Method: DFT, PBE
State: optimized geometry

a b c (Å): 3.480 3.480 9.244
angles (deg): 90.00 90.00 90.00
Fractional coordinates of all 4 atoms:
Sr  0.000  0.000  0.000
Zr  0.000  0.000  0.500
Pb  0.500  0.500  0.272
Pb  0.500  0.500  0.728

Calculated values
Calculated volume = 112.0 Å³ per cell
M_tot = 0.0 Bohr magnetons per cell
Energy relative to the elements = -263 meV/atom

Material: Cs4Cu3PbCl12
Method: DFT, PBE
State: optimized geometry

a b c (Å): 8.935 8.935 8.935
angles (deg): 109.47 109.47 109.47
Fractional coordinates of all 20 atoms:
Cs  0.000  0.000  0.500
Cs  0.000  0.500  0.000
Cs  0.500  0.000  0.000
Cs  0.500  0.500  0.500
Cu  0.000  0.500  0.500
Cu  0.500  0.000  0.500
Cu  0.500  0.500  0.000
Pb  0.000  0.000  0.000
Cl  0.000  0.273  0.273
Cl  0.000  0.727  0.727
Cl  0.250  0.500  0.750
Cl  0.250  0.750  0.500
Cl  0.273  0.000  0.273
Cl  0.273  0.273  0.000
Cl  0.500  0.250  0.750
Cl  0.500  0.750  0.250
Cl  0.727  0.000  0.727
Cl  0.727  0.727  0.000
Cl  0.750  0.250  0.500
Cl  0.750  0.500  0.250

Calculated values
Formation energy from raw total energies = -114.12 kJ per mole of atoms
Calculated volume = 549.1 Å³ per cell
M_tot = 1.3 Bohr magnetons per cell

Material: Li5Sn3
Method: DFT, PBE
State: optimized geometry

a b c (Å): 7.525 7.520 4.766
angles (deg): 71.59 71.48 36.93
Fractional coordinates of all 8 atoms:
Li  0.000  0.000  0.000
Li  0.121  0.121  0.379
Li  0.379  0.379  0.121
Li  0.621  0.621  0.879
Li  0.879  0.879  0.621
Sn  0.249  0.249  0.751
Sn  0.500  0.500  0.500
Sn  0.751  0.751  0.249

Calculated values
Calculated volume = 152.7 Å³ per cell
Relative energy among the computed polymorphs = 0 meV/atom
M_tot = 0.0 Bohr magnetons per cell
Energy relative to the elements = -359 meV/atom

Material: Y2CoSi3Ir4
Method: DFT, PBE
State: optimized geometry

a b c (Å): 4.099 4.099 9.957
angles (deg): 90.00 90.00 90.00
Fractional coordinates of all 10 atoms:
Y  0.000  0.500  0.248
Y  0.500  0.000  0.752
Co  0.500  0.500  0.000
Si  0.000  0.000  0.000
Si  0.000  0.500  0.631
Si  0.500  0.000  0.369
Ir  0.000  0.000  0.500
Ir  0.000  0.500  0.869
Ir  0.500  0.000  0.131
Ir  0.500  0.500  0.500

Calculated values
Formation energy from raw total energies = -88.43 kJ per mole of atoms
Calculated volume = 167.3 Å³ per cell
M_tot = 1.1 Bohr magnetons per cell

Material: YV3As
Method: DFT, PBE
State: optimized geometry

a b c (Å): 4.620 4.620 4.620
angles (deg): 90.00 90.00 90.00
Fractional coordinates of all 5 atoms:
Y  0.000  0.000  0.000
V  0.000  0.500  0.500
V  0.500  0.000  0.500
V  0.500  0.500  0.000
As  0.500  0.500  0.500

Calculated values
Calculated volume = 98.6 Å³ per cell
Relative energy among the computed polymorphs = 0 meV/atom
M_tot = 1.4 Bohr magnetons per cell
Energy relative to the elements = 407 meV/atom

Material: Sm2ZnTc
Method: DFT, PBE
State: optimized geometry

a b c (Å): 10.603 10.603 10.603
angles (deg): 18.82 18.82 18.82
Fractional coordinates of all 4 atoms:
Sm  0.101  0.101  0.101
Sm  0.899  0.899  0.899
Zn  0.000  0.000  0.000
Tc  0.500  0.500  0.500

Calculated values
Calculated volume = 108.4 Å³ per cell
M_tot = 0.0 Bohr magnetons per cell
Energy relative to the elements = 389 meV/atom

Material: LiCaPuN2
Method: DFT, PBE
State: optimized geometry

a b c (Å): 3.680 3.680 6.326
angles (deg): 90.00 90.00 120.00
Fractional coordinates of all 5 atoms:
Li  0.000  0.000  0.000
Ca  0.333  0.667  0.729
Pu  0.667  0.333  0.302
N  0.000  0.000  0.440
N  0.667  0.333  0.945

Calculated values
Formation energy from raw total energies = -79.76 kJ per mole of atoms
Calculated volume = 74.2 Å³ per cell
M_tot = 5.0 Bohr magnetons per cell

Material: Li2Ca2ReO6
Method: DFT, PBE
State: optimized geometry

a b c (Å): 5.733 5.733 5.238
angles (deg): 97.11 97.11 119.47
Fractional coordinates of all 11 atoms:
Li  0.124  0.876  0.000
Li  0.876  0.124  0.000
Ca  0.338  0.662  0.500
Ca  0.662  0.338  0.500
Re  0.000  0.000  0.500
O  0.039  0.326  0.713
O  0.225  0.225  0.271
O  0.326  0.039  0.713
O  0.674  0.961  0.287
O  0.775  0.775  0.729
O  0.961  0.674  0.287

Calculated values
Formation energy from raw total energies = -211.59 kJ per mole of atoms
Calculated volume = 145.3 Å³ per cell
M_tot = 1.0 Bohr magnetons per cell

Material: LiTa2Si
Method: DFT, PBE
State: optimized geometry

a b c (Å): 9.723 9.723 9.723
angles (deg): 16.98 16.98 16.98
Fractional coordinates of all 4 atoms:
Li  0.000  0.000  0.000
Ta  0.242  0.242  0.242
Ta  0.485  0.485  0.485
Si  0.742  0.742  0.742

Calculated values
Formation energy from raw total energies = 10.38 kJ per mole of atoms
Calculated volume = 68.4 Å³ per cell
M_tot = 0.0 Bohr magnetons per cell

Material: CaSi2Pd5
Method: DFT, PBE
State: optimized geometry

a b c (Å): 6.424 6.424 6.424
angles (deg): 145.00 114.22 76.74
Fractional coordinates of all 8 atoms:
Ca  0.000  0.000  0.000
Si  0.262  0.762  0.500
Si  0.738  0.238  0.500
Pd  0.149  0.349  0.799
Pd  0.450  0.651  0.799
Pd  0.500  0.000  0.500
Pd  0.550  0.349  0.201
Pd  0.851  0.651  0.201

Calculated values
Formation energy from raw total energies = -70.71 kJ per mole of atoms
Calculated volume = 135.8 Å³ per cell
M_tot = 0.0 Bohr magnetons per cell

Material: Dy5YHo12
Method: DFT, PBE
State: optimized geometry

a b c (Å): 10.590 4.992 10.602
angles (deg): 90.00 90.13 90.00
Fractional coordinates of all 18 atoms:
Dy  0.000  0.000  0.000
Dy  0.167  0.500  0.833
Dy  0.333  0.000  0.667
Dy  0.667  0.000  0.333
Dy  0.833  0.500  0.167
Y  0.500  0.500  0.500
Ho  0.000  0.000  0.333
Ho  0.000  0.000  0.667
Ho  0.166  0.500  0.500
Ho  0.167  0.500  0.167
Ho  0.333  0.000  0.000
Ho  0.333  0.000  0.333
Ho  0.500  0.500  0.166
Ho  0.500  0.500  0.834
Ho  0.667  0.000  0.000
Ho  0.667  0.000  0.667
Ho  0.833  0.500  0.833
Ho  0.834  0.500  0.500

Calculated values
Calculated volume = 560.5 Å³ per cell
M_tot = 0.0 Bohr magnetons per cell
Energy relative to the elements = 20 meV/atom

Material: Pm2Tm2In
Method: DFT, PBE
State: optimized geometry

a b c (Å): 9.187 9.187 9.187
angles (deg): 152.58 152.58 39.16
Fractional coordinates of all 5 atoms:
Pm  0.250  0.750  0.500
Pm  0.750  0.250  0.500
Tm  0.088  0.088  0.000
Tm  0.912  0.912  0.000
In  0.500  0.500  0.000

Calculated values
Calculated volume = 164.1 Å³ per cell
Relative energy among the computed polymorphs = 382 meV/atom
M_tot = 0.0 Bohr magnetons per cell
Energy relative to the elements = 341 meV/atom

Material: ZrAlTl2V
Method: DFT, PBE
State: optimized geometry

a b c (Å): 5.284 5.284 4.768
angles (deg): 90.00 90.00 90.00
Fractional coordinates of all 5 atoms:
Zr  0.000  0.000  0.000
Al  0.500  0.500  0.000
Tl  0.000  0.500  0.500
Tl  0.500  0.000  0.500
V  0.000  0.000  0.500

Calculated values
Calculated volume = 133.1 Å³ per cell
M_tot = 0.0 Bohr magnetons per cell
Energy relative to the elements = 728 meV/atom